Compound: Li2ZrCl
Source: Alexandria
Functional: PBE-GGA
Structure: relaxed

Values from the calculation:
formation energy (no corrections)	0.424	eV/atom
E	-3.13	eV/atom
total magnetization	3.528	μB per cell
offset from the most stable computed form	1.019	eV per atom

a = 5.030 Å, b = 5.030 Å, c = 5.030 Å
α = 60.00°, β = 60.00°, γ = 60.00°
Atoms (fractional coordinates):
Li 0.250 0.250 0.250
Li 0.750 0.750 0.750
Zr 0.000 0.000 0.000
Cl 0.500 0.500 0.500